(1)
Density functional theory data (PBE) for crystalline CsUSiS6 at its relaxed geometry. Values from VASP.

Geometry as Quantum ESPRESSO input:
```
&SYSTEM
  ibrav = 0, nat = 9, ntyp = 4
/
ATOMIC_SPECIES
Cs 132.91 Cs.upf
U 238.03 U.upf
Si 28.09 Si.upf
S 32.06 S.upf
ATOMIC_POSITIONS crystal
Cs 0.0000 0.0000 0.0000
U 0.6666 0.6667 0.5000
Si 0.3333 0.3334 0.5000
S 0.0298 0.3441 0.3320
S 0.3441 0.0298 0.6680
S 0.6260 0.3441 0.6680
S 0.0298 0.6260 0.6680
S 0.3441 0.6260 0.3320
S 0.6260 0.0298 0.3320
CELL_PARAMETERS angstrom
6.2136 0.0002 0.0001
3.1071 5.3808 0.0000
0.0003 -0.0004 8.3199
```

Summary:
- E_tot (eV/atom) = -5.438
- space-group type = P312 (149)

=====

(2)
Density functional theory data (PBE) for crystalline CsYSiS4 at its relaxed geometry. Values from VASP.

Geometry as Quantum ESPRESSO input:
```
&SYSTEM
  ibrav = 0, nat = 14, ntyp = 4
/
ATOMIC_SPECIES
Cs 132.91 Cs.upf
Y 88.91 Y.upf
Si 28.09 Si.upf
S 32.06 S.upf
ATOMIC_POSITIONS crystal
Cs 0.7318 0.7500 0.9373
Cs 0.2682 0.2500 0.0627
Y 0.7743 0.7500 0.4548
Y 0.2257 0.2500 0.5452
Si 0.2214 0.7500 0.3414
Si 0.7786 0.2500 0.6586
S 0.0010 0.4968 0.6931
S 0.9990 0.9968 0.3069
S 0.9990 0.5032 0.3069
S 0.0010 0.0032 0.6931
S 0.4148 0.7500 0.1972
S 0.5852 0.2500 0.8028
S 0.4261 0.7500 0.5657
S 0.5739 0.2500 0.4343
CELL_PARAMETERS angstrom
-2.4174 -1.3758 5.7860
5.8522 -2.8444 1.7687
4.0314 8.5561 0.4210
```

Summary:
- E_tot (eV/atom) = -5.619
- space-group type = P2_1/m (11)

=====

(3)
Density functional theory data (PBE) for crystalline Cs2YSi2S6 at its relaxed geometry. Values from VASP.

Geometry as Quantum ESPRESSO input:
```
&SYSTEM
  ibrav = 0, nat = 11, ntyp = 4
/
ATOMIC_SPECIES
Cs 132.91 Cs.upf
Y 88.91 Y.upf
Si 28.09 Si.upf
S 32.06 S.upf
ATOMIC_POSITIONS crystal
Cs 0.7261 0.4522 0.2108
Cs 0.2739 0.5478 0.7892
Y 0.5000 0.0000 0.5000
Si 0.9462 0.8925 0.8058
Si 0.0538 0.1075 0.1942
S 0.7550 0.5100 0.7019
S 0.2233 0.9592 0.2320
S 0.2642 0.0408 0.7680
S 0.7767 0.0408 0.7680
S 0.7358 0.9592 0.2320
S 0.2450 0.4900 0.2981
CELL_PARAMETERS angstrom
-0.4569 -5.9367 4.1597
6.4961 2.8747 -1.5251
-4.6313 3.9850 5.1786
```

Summary:
- E_tot (eV/atom) = -5.053
- space-group type = C2/m (12)

=====

(4)
Density functional theory data (PBE) for crystalline CsSm2S3 at its relaxed geometry. Values from VASP.

Geometry as Quantum ESPRESSO input:
```
&SYSTEM
  ibrav = 0, nat = 12, ntyp = 3
/
ATOMIC_SPECIES
Cs 132.91 Cs.upf
Sm 150.36 Sm.upf
S 32.06 S.upf
ATOMIC_POSITIONS crystal
Cs 0.2500 0.4996 0.4996
Cs 0.7500 0.5004 0.5004
Sm 0.5000 0.8334 0.1666
Sm 0.0000 0.8334 0.1666
Sm 0.0000 0.1666 0.8334
Sm 0.5000 0.1666 0.8334
S 0.7500 0.5001 0.0002
S 0.7500 0.0002 0.5001
S 0.2500 0.4999 0.9998
S 0.7500 0.0003 0.0003
S 0.2500 0.9997 0.9997
S 0.2500 0.9998 0.4999
CELL_PARAMETERS angstrom
7.4959 0.0000 0.0000
0.0000 7.2790 -0.6839
0.0000 -3.0480 6.6454
```

Summary:
- E_tot (eV/atom) = -5.562
- space-group type = Cmcm (63)

=====

The highest E_tot belongs to which entry?
Cs2YSi2S6

=====

Which value of E_tot does entry 4 give?
-5.562 eV/atom

=====

Number 1 is which compound?
CsUSiS6

=====

Among the records above, which one has the highest E_tot?
Cs2YSi2S6